This record from the Alexandria database describes a relaxed TeIrSe2 crystal. The functional is GGA-PBE.

Output
SG   No. 8
Density   8.30 g/cm³
Total magnetic moment   0.000 μB/atom
E_form (uncorrected)   -0.6 eV/f.u.

```
TeIrSe2
1.0
-0.666 0.392 -5.606
0.508 -6.214 -0.495
-10.657 -0.993 1.525
Te Se Ir
4 8 4
Cartesian
-9.092 -3.923 0.394
-4.017 -0.319 -0.122
-9.530 -0.645 -1.691
-3.947 -3.256 -2.701
-1.130 0.328 -5.279
-7.623 -3.618 -1.921
-1.768 -3.224 -0.856
-0.578 -2.891 -3.817
-7.351 -0.614 0.154
-6.204 -3.276 -4.763
-6.160 -0.280 -2.807
-2.549 -0.015 -2.436
-5.527 -4.896 -1.315
-0.171 -4.741 -2.105
-0.453 -1.293 -1.830
-5.754 -2.130 -1.095
```